DFT (PBE) results for a relaxed structure of LaRe2IrBr.

## Properties
Density of states at the Fermi level: 1.535 states/eV/atom
E_form (uncorrected): 14.2 eV per formula unit
V: 128.6 Å³/f.u.

abc: 4.891 4.891 5.377
angles: 90.00 90.00 90.00
Sites, in units of the cell vectors:
1 La 0.000 0.000 0.000
2 Re 0.000 0.500 0.000
3 Re 0.500 0.000 0.000
4 Ir 0.500 0.500 0.500
5 Br 0.000 0.000 0.500